This record from Alexandria via LeMat-Bulk describes crystalline Rb2Mn2Se2O at its relaxed geometry. The functional is PBE+U.

Summary:
Magnetic moment (μB/atom): 1.43
E_tot (eV/atom): -5.214
Theoretical density (g cm⁻³): 4.390

Cell lengths 9.276, 9.276, 9.276 Å; angles 152.31, 152.31, 39.56 degrees
Sites, in units of the cell vectors:
Rb 0.172 0.172 0.000
Rb 0.828 0.828 0.000
Mn 0.000 0.500 0.500
Mn 0.500 0.000 0.500
Se 0.394 0.394 0.000
Se 0.606 0.606 0.000
O 0.000 0.000 0.000